# CsK2NaCd | Alexandria via LeMat-Bulk | PBE | optimized geometry
data_CsK2NaCd
_chemical_formula_sum 'Cs1 K2 Na1 Cd1'
_cell_length_a 7.0695
_cell_length_b 7.0695
_cell_length_c 6.1989
_cell_angle_alpha 90.00
_cell_angle_beta 90.00
_cell_angle_gamma 90.00
_symmetry_space_group_name_H-M 'P 4/m m m'
_symmetry_Int_Tables_number 123
_symmetry_space_group_name_Hall '-P 4 2'
loop_
_atom_site_label
_atom_site_type_symbol
_atom_site_fract_x
_atom_site_fract_y
_atom_site_fract_z
Cs1 Cs 0.0000 0.0000 0.0000
K1 K 0.0000 0.5000 0.5000
Na1 Na 0.5000 0.5000 0.5000
Cd1 Cd 0.5000 0.5000 0.0000
# energy = -0.9545 eV per atom
# distance to the lowest polymorph of the same formula = 69.3 meV per atom
# calculated volume = 310 Å³/cell
# calculated formation energy = 0.102 eV/atom